(1)
! PrPuRuRh PBE optimized geometry; values from VASP
&SYSTEM
  ibrav = 0, nat = 16, ntyp = 4
/
ATOMIC_SPECIES
Pr 140.91 Pr.upf
Pu 244.00 Pu.upf
Ru 101.07 Ru.upf
Rh 102.91 Rh.upf
CELL_PARAMETERS angstrom
6.956 0.000 0.000
0.000 6.956 0.000
0.000 0.000 6.956
ATOMIC_POSITIONS angstrom
Pr 0.000 0.000 0.000
Pr 0.000 3.478 3.478
Pr 3.478 0.000 3.478
Pr 3.478 3.478 0.000
Pu 0.000 0.000 3.478
Pu 0.000 3.478 0.000
Pu 3.478 0.000 0.000
Pu 3.478 3.478 3.478
Ru 1.739 1.739 5.217
Ru 1.739 5.217 1.739
Ru 5.217 1.739 1.739
Ru 5.217 5.217 5.217
Rh 1.739 1.739 1.739
Rh 1.739 5.217 5.217
Rh 5.217 1.739 5.217
Rh 5.217 5.217 1.739
! symmetry = No. 216
! crystal system = cubic
! final energy = -9.1787 eV per atom



(2)
! Pr2PuSb4Rh3 PBE optimized geometry; values from VASP
&SYSTEM
  ibrav = 0, nat = 10, ntyp = 4
/
ATOMIC_SPECIES
Pr 140.91 Pr.upf
Pu 244.00 Pu.upf
Sb 121.76 Sb.upf
Rh 102.91 Rh.upf
CELL_PARAMETERS angstrom
4.517 0.000 0.000
0.000 4.517 0.000
0.000 0.000 11.880
ATOMIC_POSITIONS angstrom
Pr 0.000 2.259 2.681
Pr 2.259 0.000 9.200
Pu 0.000 0.000 5.940
Sb 0.000 0.000 0.000
Sb 0.000 2.259 7.920
Sb 2.259 0.000 3.960
Sb 2.259 2.259 0.000
Rh 0.000 2.259 10.529
Rh 2.259 0.000 1.351
Rh 2.259 2.259 5.940
! symmetry = No. 115
! crystal system = tetragonal
! E_form (uncorrected) = -0.676 eV/atom



(3)
! PrPuTlRh PBE optimized geometry; values from VASP
&SYSTEM
  ibrav = 0, nat = 4, ntyp = 4
/
ATOMIC_SPECIES
Pr 140.91 Pr.upf
Pu 244.00 Pu.upf
Tl 204.38 Tl.upf
Rh 102.91 Rh.upf
CELL_PARAMETERS angstrom
3.465 0.000 0.000
0.000 3.465 0.000
0.000 0.000 8.456
ATOMIC_POSITIONS angstrom
Pr 0.000 0.000 0.000
Pu 0.000 0.000 4.965
Tl 1.732 1.732 2.545
Rh 1.732 1.732 6.597
! symmetry = No. 99
! crystal system = tetragonal
! final energy = -7.5447 eV per atom



(4)
! PrPuTlRh PBE optimized geometry; values from VASP
&SYSTEM
  ibrav = 0, nat = 16, ntyp = 4
/
ATOMIC_SPECIES
Pr 140.91 Pr.upf
Pu 244.00 Pu.upf
Tl 204.38 Tl.upf
Rh 102.91 Rh.upf
CELL_PARAMETERS angstrom
7.402 0.000 0.000
0.000 7.402 0.000
0.000 0.000 7.402
ATOMIC_POSITIONS angstrom
Pr 0.000 0.000 0.000
Pr 0.000 3.701 3.701
Pr 3.701 0.000 3.701
Pr 3.701 3.701 0.000
Pu 0.000 0.000 3.701
Pu 0.000 3.701 0.000
Pu 3.701 0.000 0.000
Pu 3.701 3.701 3.701
Tl 1.851 1.851 1.851
Tl 1.851 5.552 5.552
Tl 5.552 1.851 5.552
Tl 5.552 5.552 1.851
Rh 1.851 1.851 5.552
Rh 1.851 5.552 1.851
Rh 5.552 1.851 1.851
Rh 5.552 5.552 5.552
! symmetry = No. 216
! crystal system = cubic
! final energy = -7.3860 eV per atom



(5)
! PrPuZnRh PBE optimized geometry; values from VASP
&SYSTEM
  ibrav = 0, nat = 16, ntyp = 4
/
ATOMIC_SPECIES
Pr 140.91 Pr.upf
Pu 244.00 Pu.upf
Zn 65.41 Zn.upf
Rh 102.91 Rh.upf
CELL_PARAMETERS angstrom
7.133 0.000 0.000
0.000 7.133 0.000
0.000 0.000 7.133
ATOMIC_POSITIONS angstrom
Pr 0.000 0.000 0.000
Pr 0.000 3.567 3.567
Pr 3.567 0.000 3.567
Pr 3.567 3.567 0.000
Pu 0.000 0.000 3.567
Pu 0.000 3.567 0.000
Pu 3.567 0.000 0.000
Pu 3.567 3.567 3.567
Zn 1.783 1.783 1.783
Zn 1.783 5.350 5.350
Zn 5.350 1.783 5.350
Zn 5.350 5.350 1.783
Rh 1.783 1.783 5.350
Rh 1.783 5.350 1.783
Rh 5.350 1.783 1.783
Rh 5.350 5.350 5.350
! symmetry = No. 216
! crystal system = cubic
! final energy = -7.2276 eV per atom



(6)
! Pr5PuRu4 PBE optimized geometry; values from VASP
&SYSTEM
  ibrav = 0, nat = 10, ntyp = 3
/
ATOMIC_SPECIES
Pr 140.91 Pr.upf
Pu 244.00 Pu.upf
Ru 101.07 Ru.upf
CELL_PARAMETERS angstrom
9.040 -2.157 0.000
9.040 2.157 0.000
-2.776 0.000 6.842
ATOMIC_POSITIONS angstrom
Pr 0.000 0.000 0.000
Pr 3.249 0.000 6.464
Pr 4.836 0.000 3.160
Pr 10.469 0.000 3.682
Pr 12.056 0.000 0.378
Pu -1.388 0.000 3.421
Ru 0.379 0.000 5.340
Ru 7.944 0.000 1.973
Ru 7.361 0.000 4.870
Ru 14.926 0.000 1.502
! symmetry = No. 12
! crystal system = monoclinic
! final energy = -7.6652 eV per atom



(7)
! Pr2PuRu3 PBE optimized geometry; values from VASP
&SYSTEM
  ibrav = 0, nat = 12, ntyp = 3
/
ATOMIC_SPECIES
Pr 140.91 Pr.upf
Pu 244.00 Pu.upf
Ru 101.07 Ru.upf
CELL_PARAMETERS angstrom
5.917 0.000 0.000
-2.958 5.124 0.000
0.000 0.000 8.169
ATOMIC_POSITIONS angstrom
Pr 0.000 3.416 0.503
Pr 0.000 3.416 3.581
Pr 2.958 1.708 4.588
Pr 2.958 1.708 7.666
Pu 0.000 0.000 0.000
Pu 0.000 0.000 4.085
Ru 0.000 1.695 6.127
Ru -1.490 4.276 6.127
Ru 1.468 0.848 2.042
Ru 1.490 4.276 6.127
Ru 4.448 0.848 2.042
Ru 2.958 3.429 2.042
! symmetry = No. 194
! crystal system = hexagonal
! final energy = -8.8551 eV per atom



(8)
! PrPuRu2 PBE optimized geometry; values from VASP
&SYSTEM
  ibrav = 0, nat = 16, ntyp = 3
/
ATOMIC_SPECIES
Pr 140.91 Pr.upf
Pu 244.00 Pu.upf
Ru 101.07 Ru.upf
CELL_PARAMETERS angstrom
5.977 0.000 0.000
0.000 4.450 0.000
0.000 0.000 13.486
ATOMIC_POSITIONS angstrom
Pr 0.002 1.112 1.651
Pr 5.975 3.337 11.835
Pr 2.991 1.112 5.092
Pr 2.986 3.337 8.394
Pu 5.976 1.112 7.780
Pu 0.001 3.337 5.706
Pu 2.988 1.112 12.449
Pu 2.990 3.337 1.037
Ru 0.003 1.112 4.496
Ru 5.974 3.337 8.990
Ru 1.492 1.112 10.114
Ru 1.497 3.337 3.371
Ru 2.992 1.112 2.247
Ru 2.986 3.337 11.239
Ru 4.480 1.112 10.114
Ru 4.486 3.337 3.371
! symmetry = No. 62
! crystal system = orthorhombic
! final energy = -9.4388 eV per atom



(9)
! Pr3PuRu8 PBE optimized geometry; values from VASP
&SYSTEM
  ibrav = 0, nat = 12, ntyp = 3
/
ATOMIC_SPECIES
Pr 140.91 Pr.upf
Pu 244.00 Pu.upf
Ru 101.07 Ru.upf
CELL_PARAMETERS angstrom
2.701 1.559 8.886
-2.701 1.559 8.886
0.000 -3.118 8.886
ATOMIC_POSITIONS angstrom
Pr 0.000 0.000 0.000
Pr 0.000 0.000 3.336
Pr 0.000 0.000 16.672
Pu 0.000 0.000 13.358
Ru 0.000 -1.533 6.078
Ru -1.328 0.767 6.078
Ru -1.337 -0.772 10.621
Ru 0.000 0.000 8.375
Ru 1.328 0.767 6.078
Ru 1.337 -0.772 10.621
Ru 0.000 1.544 10.621
Ru 0.000 0.000 21.718
! symmetry = No. 160
! crystal system = trigonal
! final energy = -8.6674 eV per atom



(10)
! Pr2Pu2Ru3 PBE optimized geometry; values from VASP
&SYSTEM
  ibrav = 0, nat = 7, ntyp = 3
/
ATOMIC_SPECIES
Pr 140.91 Pr.upf
Pu 244.00 Pu.upf
Ru 101.07 Ru.upf
CELL_PARAMETERS angstrom
3.852 0.000 0.000
1.902 5.223 0.000
1.882 -0.392 7.420
ATOMIC_POSITIONS angstrom
Pr 1.897 0.946 2.740
Pr 5.738 3.884 4.680
Pu 1.911 3.231 0.412
Pu 5.724 1.600 7.008
Ru 3.810 1.580 5.127
Ru 1.926 0.000 0.000
Ru 3.826 3.250 2.293
! symmetry = No. 2
! crystal system = triclinic
! final energy = -9.3675 eV per atom



(11)
! Pr2Pu3Ru4 PBE optimized geometry; values from VASP
&SYSTEM
  ibrav = 0, nat = 18, ntyp = 3
/
ATOMIC_SPECIES
Pr 140.91 Pr.upf
Pu 244.00 Pu.upf
Ru 101.07 Ru.upf
CELL_PARAMETERS angstrom
3.101 -8.208 0.000
3.101 8.208 0.000
0.000 0.000 7.678
ATOMIC_POSITIONS angstrom
Pr 3.101 6.576 6.933
Pr 3.101 1.631 3.095
Pr 3.101 -1.631 4.583
Pr 3.101 -6.576 0.744
Pu 0.000 0.000 3.839
Pu 1.551 3.719 5.758
Pu 1.551 -3.719 1.919
Pu 3.101 0.000 0.000
Pu 4.652 3.719 5.758
Pu 4.652 -3.719 1.919
Ru 3.101 5.579 3.997
Ru 1.551 1.087 5.758
Ru 1.551 -1.087 1.919
Ru 3.101 2.628 0.158
Ru 3.101 -2.628 7.520
Ru 4.652 1.087 5.758
Ru 4.652 -1.087 1.919
Ru 3.101 -5.579 3.681
! symmetry = No. 64
! crystal system = orthorhombic
! final energy = -10.1365 eV per atom



(12)
! PrPu2Ru PBE optimized geometry; values from VASP
&SYSTEM
  ibrav = 0, nat = 12, ntyp = 3
/
ATOMIC_SPECIES
Pr 140.91 Pr.upf
Pu 244.00 Pu.upf
Ru 101.07 Ru.upf
CELL_PARAMETERS angstrom
4.717 0.000 0.000
-2.358 4.085 0.000
0.000 0.000 15.461
ATOMIC_POSITIONS angstrom
Pr 0.000 0.000 0.000
Pr 0.000 2.723 10.307
Pr 2.358 1.362 5.154
Pu 0.000 0.000 3.488
Pu 0.000 0.000 11.973
Pu 0.000 2.723 6.819
Pu 0.000 2.723 13.795
Pu 2.358 1.362 1.665
Pu 2.358 1.362 8.642
Ru 0.000 0.000 7.730
Ru 0.000 2.723 2.577
Ru 2.358 1.362 12.884
! symmetry = No. 166
! crystal system = trigonal
! final energy = -10.5340 eV per atom



no.,spin magnetization (μB per atom)
1,1.151
2,0.525
3,1.369
4,1.398
5,1.378
6,0.304
7,0.480
8,1.109
9,0.255
10,0.001
11,1.540
12,2.741